Material: Ti2NbPb2
Method: DFT, PBE
State: optimized geometry

Unit cell a=7.5202 b=7.5202 c=3.6582 alpha=90.00 beta=90.00 gamma=90.00
Last column: nearest neighbours and their distance in Å.
Space group P4/mbm (No. 127)
One atom of each set of equivalent atoms:
Ti  0.1601  0.3399  0.0000 (multiplicity 4)  6 Pb 2.78-2.93
Nb  0.0000  0.0000  0.5000 (multiplicity 2)  4 Pb 2.89
Pb  0.1431  0.6431  0.5000 (multiplicity 4)  6 Ti 2.78-2.93, 2 Nb 2.89, 1 Pb 3.04

D(E_F) in states/eV/cell: 5.32
Spin magnetization in μB per cell: 0.00
Formation energy in eV/atom: 0.1994

***

Material: Ti4Nb3Pb
Method: DFT, PBE
State: optimized geometry

Unit cell a=4.6463 b=4.6463 c=6.6909 alpha=90.00 beta=90.00 gamma=90.00
Last column: nearest neighbours and their distance in Å.
Space group P4/mmm (No. 123)
One atom of each set of equivalent atoms:
Ti  0.0000  0.5000  0.2322 (multiplicity 4)  6 Nb 2.79-2.93, 2 Pb 2.93, 1 Ti 3.11
Nb  0.0000  0.0000  0.0000 (multiplicity 1)  8 Ti 2.79
Nb  0.0000  0.0000  0.5000 (multiplicity 1)  8 Ti 2.93, 4 Pb 3.29
Nb  0.5000  0.5000  0.0000 (multiplicity 1)  8 Ti 2.79
Pb  0.5000  0.5000  0.5000 (multiplicity 1)  8 Ti 2.93, 4 Nb 3.29

D(E_F) in states/eV/cell: 10.51
Spin magnetization in μB per cell: 0.00
Formation energy in eV/atom: -0.0061

***

Material: Ti2Nb2Pb
Method: DFT, PBE
State: optimized geometry

Unit cell a=4.2489 b=15.3710 c=2.9847 alpha=90.00 beta=90.00 gamma=90.00
Last column: nearest neighbours and their distance in Å.
Space group Cmmm (No. 65)
One atom of each set of equivalent atoms:
Ti  0.0000  0.1125  0.0000 (multiplicity 4)  6 Nb 2.92-3.25, 2 Ti 2.98, 4 Pb 3.12
Nb  0.0000  0.3005  0.5000 (multiplicity 4)  2 Nb 2.63, 4 Ti 2.92
Pb  0.0000  0.5000  0.5000 (multiplicity 2)  2 Pb 2.98, 2 Nb 3.07, 8 Ti 3.12

E above lowest polymorph in kJ per mole of atoms: 0.0
D(E_F) in states/eV/cell: 13.00
Spin magnetization in μB per cell: 0.00
Formation energy in eV/atom: 0.1696

***

Material: Ti2Nb2Pb
Method: DFT, PBE
State: optimized geometry

Unit cell a=3.9137 b=3.9137 c=13.3884 alpha=90.00 beta=90.00 gamma=90.00
Last column: nearest neighbours and their distance in Å.
Space group I4/mmm (No. 139)
One atom of each set of equivalent atoms:
Ti  0.0000  0.5000  0.2500 (multiplicity 4)  4 Ti 2.77, 4 Nb 2.82
Nb  0.0000  0.0000  0.0988 (multiplicity 4)  1 Nb 2.65, 4 Ti 2.82
Pb  0.0000  0.0000  0.5000 (multiplicity 2)  8 Nb 3.07

E above lowest polymorph in kJ per mole of atoms: 42.6
D(E_F) in states/eV/cell: 14.98
Spin magnetization in μB per cell: 0.00
Formation energy in eV/atom: 0.6110

***

Material: Ti3NbPb
Method: DFT, PBE
State: optimized geometry

Unit cell a=4.8432 b=4.8432 c=4.8432 alpha=90.00 beta=90.00 gamma=90.00
Last column: nearest neighbours and their distance in Å.
Space group Pm-3m (No. 221)
One atom of each set of equivalent atoms:
Ti  0.0000  0.0000  0.5000 (multiplicity 3)  2 Nb 2.42
Nb  0.0000  0.0000  0.0000 (multiplicity 1)  6 Ti 2.42
Pb  0.5000  0.5000  0.5000 (multiplicity 1)  12 Ti 3.42

E above lowest polymorph in kJ per mole of atoms: 74.1
D(E_F) in states/eV/cell: 6.37
Spin magnetization in μB per cell: 1.25
Formation energy in eV/atom: 0.8133

***

Material: TiNb2Pb
Method: DFT, PBE
State: optimized geometry

Unit cell a=4.0647 b=4.0647 c=4.6145 alpha=90.00 beta=90.00 gamma=90.00
Last column: nearest neighbours and their distance in Å.
Space group P4/mmm (No. 123)
One atom of each set of equivalent atoms:
Ti  0.0000  0.0000  0.0000 (multiplicity 1)  4 Pb 2.87, 8 Nb 3.07
Nb  0.0000  0.5000  0.5000 (multiplicity 2)  4 Nb 2.87, 4 Pb 3.07, 4 Ti 3.07
Pb  0.5000  0.5000  0.0000 (multiplicity 1)  4 Ti 2.87, 8 Nb 3.07

D(E_F) in states/eV/cell: 3.84
Spin magnetization in μB per cell: 0.00
Formation energy in eV/atom: 0.0513

***

Material: Ti4NbPb2
Method: DFT, PBE
State: optimized geometry

Unit cell a=7.1799 b=5.4722 c=7.7481 alpha=90.00 beta=115.03 gamma=90.00
Last column: nearest neighbours and their distance in Å.
Space group P2_1/m (No. 11)
One atom of each set of equivalent atoms:
Ti  0.0452  0.2500  0.4494 (multiplicity 2)  1 Nb 2.58, 1 Ti 2.87
Ti  0.1125  0.2500  0.8413 (multiplicity 2)  3 Ti 2.81-2.87, 4 Pb 2.89-3.11, 1 Nb 2.89
Ti  0.4239  0.0048  0.7804 (multiplicity 4)  3 Ti 2.68-2.81, 1 Nb 2.78, 3 Pb 2.86-2.99
Nb  0.2565  0.2500  0.2510 (multiplicity 2)  3 Ti 2.58-2.78
Pb  0.1928  0.7500  0.9699 (multiplicity 2)  8 Ti 2.89-3.11, 1 Nb 2.94
Pb  0.3149  0.7500  0.4289 (multiplicity 2)  4 Ti 2.86-3.10, 3 Nb 3.01-3.03

D(E_F) in states/eV/cell: 16.92
Spin magnetization in μB per cell: 0.00
Formation energy in eV/atom: 0.1941

***

Material: Ti3NbPb
Method: DFT, PBE
State: optimized geometry

Unit cell a=10.9648 b=10.3570 c=6.7995 alpha=90.00 beta=90.00 gamma=90.00
Last column: nearest neighbours and their distance in Å.
Space group Cmce (No. 64)
One atom of each set of equivalent atoms:
Ti  0.0000  0.0895  0.1793 (multiplicity 8)  3 Nb 2.72-2.97, 2 Ti 2.80, 2 Pb 2.81
Ti  0.1495  0.1932  0.8854 (multiplicity 16)  2 Nb 2.75-2.76, 3 Ti 2.80-2.94, 3 Pb 2.92-3.08
Nb  0.0000  0.1316  0.5747 (multiplicity 8)  7 Ti 2.72-2.97, 1 Nb 2.91
Pb  0.2500  0.0526  0.2500 (multiplicity 8)  8 Ti 2.81-3.08

E above lowest polymorph in kJ per mole of atoms: 13.2
D(E_F) in states/eV/cell: 52.15
Spin magnetization in μB per cell: 0.02
Formation energy in eV/atom: 0.1820

***

Please write out number 2 again, unchanged.
Material: Ti4Nb3Pb
Method: DFT, PBE
State: optimized geometry

Unit cell a=4.6463 b=4.6463 c=6.6909 alpha=90.00 beta=90.00 gamma=90.00
Last column: nearest neighbours and their distance in Å.
Space group P4/mmm (No. 123)
One atom of each set of equivalent atoms:
Ti  0.0000  0.5000  0.2322 (multiplicity 4)  6 Nb 2.79-2.93, 2 Pb 2.93, 1 Ti 3.11
Nb  0.0000  0.0000  0.0000 (multiplicity 1)  8 Ti 2.79
Nb  0.0000  0.0000  0.5000 (multiplicity 1)  8 Ti 2.93, 4 Pb 3.29
Nb  0.5000  0.5000  0.0000 (multiplicity 1)  8 Ti 2.79
Pb  0.5000  0.5000  0.5000 (multiplicity 1)  8 Ti 2.93, 4 Nb 3.29

D(E_F) in states/eV/cell: 10.51
Spin magnetization in μB per cell: 0.00
Formation energy in eV/atom: -0.0061